Material: RbCoCu2
Method: DFT, GGA-PBE
State: optimized geometry

Calculated values
Calculated total energy   -2.821 eV per atom
Offset from the most stable computed form   500 meV per atom
Energy relative to the elements   5.0 eV/f.u.

Cell lengths 4.856, 4.856, 4.856 Å; angles 60.00, 60.00, 60.00 degrees
Each line ends with the local moment (μB).
Sites, in units of the cell vectors:
Co (0.000, 0.000, 0.000)  1.95
Cu (0.750, 0.750, 0.750)  0.03
Rb (0.500, 0.500, 0.500)  0.00
Cu (0.250, 0.250, 0.250)  0.03



Material: ZrGa2BTe
Method: DFT, GGA-PBE
State: optimized geometry

Calculated values
Calculated total energy   -3.611 eV per atom
Uncorrected formation energy   1273.0 meV per atom

Cell lengths 5.312, 4.236, 5.312 Å; angles 90.00, 90.00, 90.00 degrees
Sites, in units of the cell vectors:
Zr (0.500, 0.500, 0.500)
Ga (0.500, 0.000, 0.000)
B (0.000, 0.500, 0.000)
Ga (0.000, 0.000, 0.500)
Te (0.000, 0.000, 0.000)



| no. | DOS at the Fermi energy (states/eV/f.u.) |
| --- | --- |
| 1 | 7.2 |
| 2 | 4.9 |